1.
A relaxed structure of Pr4Y3Sc, computed with PBE.

The structure belongs to space group C2/m (No. 12); the cell edges are 23.295, 3.626 and 6.254 Å and the angles 90.00°, 94.93° and 90.00°. Symmetry generates all atoms from Pr at (0.121, 0.000, 0.377), Pr at (0.124, 0.500, 0.873), Y at (0.000, 0.000, 0.000), Y at (0.249, 0.500, 0.251) and Sc at (0.000, 0.500, 0.500).

The polymorph energy (0 for the lowest one) is 0.0 kJ per mole of atoms.



2.
A relaxed structure of LiZrTe2, computed with PBE.

The structure belongs to space group R3m (No. 160, hexagonal axes); the cell edges are 3.3308, 3.3308 and 34.8405 Å and the angles 90.00°, 90.00° and 120.00°. Symmetry generates all atoms from Li at (0.0000, 0.0000, 0.0000), Zr at (0.0000, 0.0000, 0.7479), Te at (0.0000, 0.0000, 0.2712) and Te at (0.0000, 0.0000, 0.4790).

As for the formation energy without anion corrections: -0.7 eV/f.u.



3.
A relaxed structure of Be5FeCo4, computed with PBE.

The structure belongs to space group P4/mmm (No. 123); the cell edges are 2.597, 2.597 and 13.113 Å and the angles 90.00°, 90.00° and 90.00°. Symmetry generates all atoms from Be at (0.000, 0.000, 0.000), Be at (0.000, 0.000, 0.198), Be at (0.000, 0.000, 0.389), Fe at (0.500, 0.500, 0.500), Co at (0.500, 0.500, 0.098) and Co at (0.500, 0.500, 0.297).

The value obtained for the raw total energy is -5.838 eV per atom.



4.
A relaxed structure of La5Pm8Dy, computed with PBE.

The structure belongs to space group I-4 (No. 82); the cell edges are 9.838, 9.838 and 10.308 Å and the angles 90.00°, 90.00° and 90.00°. Symmetry generates all atoms from La at (0.000, 0.000, 0.000), La at (0.108, 0.786, 0.578), Pm at (0.072, 0.672, 0.903), Pm at (0.079, 0.819, 0.244) and Dy at (0.000, 0.500, 0.250).

The value obtained for the raw total energy is -4.580 eV per atom.



5.
A relaxed structure of MgTcSnH, computed with PBE.

The structure belongs to space group P1 (No. 1); the cell edges are 3.455, 3.484 and 5.471 Å and the angles 71.44°, 72.62° and 89.95°. Symmetry generates all atoms from Mg at (0.000, 0.000, 0.000), Tc at (0.332, 0.328, 0.346), Sn at (0.724, 0.709, 0.583) and H at (0.369, 0.494, 0.005).

The polymorph energy (0 for the lowest one) is 8.1 kJ per mole of atoms.



6.
A relaxed structure of KBePbO4, computed with PBE.

The structure belongs to space group P2_1/m (No. 11); the cell edges are 5.467, 5.639 and 7.086 Å and the angles 90.00°, 108.37° and 90.00°. Symmetry generates all atoms from K at (0.206, 0.250, 0.435), Be at (0.273, 0.750, 0.169), Pb at (0.304, 0.250, 0.968), O at (0.051, 0.750, 0.955), O at (0.061, 0.750, 0.285) and O at (0.477, 0.525, 0.193).

As for the formation energy without anion corrections: -9.3 eV/f.u.



7.
A relaxed structure of Ca2CdSe, computed with PBE.

The structure belongs to space group F-43m (No. 216); the cell edges are 7.655, 7.655 and 7.655 Å and the angles 90.00°, 90.00° and 90.00°. Symmetry generates all atoms from Ca at (0.000, 0.000, 0.000), Ca at (0.250, 0.250, 0.250), Cd at (0.000, 0.000, 0.500) and Se at (0.250, 0.250, 0.750).

The polymorph energy (0 for the lowest one) is 68.0 kJ per mole of atoms. As for the formation energy without anion corrections: -1.2 eV/f.u.



8.
A relaxed structure of Hf2AlPd, computed with PBE.

The structure belongs to space group P4/mmm (No. 123); the cell edges are 4.216, 4.216 and 4.136 Å and the angles 90.00°, 90.00° and 90.00°. Symmetry generates all atoms from Hf at (0.000, 0.500, 0.000), Al at (0.000, 0.000, 0.500) and Pd at (0.500, 0.500, 0.500).

The value obtained for the raw total energy is -7.669 eV per atom.



no.,size of the total moment (μB/f.u.)
1,0.00
2,0.48
3,1.41
4,0.00
5,0.00
6,1.00
7,0.00
8,0.00